Record 1
Compound: Tc2IrF
Source: Alexandria via LeMat-Bulk
Functional: PBE
Structure: relaxed

Lattice parameters (Å, degrees): 6.3620 6.3620 5.5556 90.00 90.00 90.00
Closest atoms and distances in Å follow each position.
Space group I-42d (No. 122)
Unique sites:
Tc1 0.2115 0.2500 0.1250 x8  2 F 2.20
Ir1 0.0000 0.0000 0.5000 x4  4 Tc 2.53, 2 F 2.78
F1 0.0000 0.0000 0.0000 x4  4 Tc 2.20

Computed properties:
mass density: 12.03 g/cm3
DOS at the Fermi energy: 15.75 states/eV per cell
energy relative to the elements, uncorrected: 124 kJ/mol of formula units
magnetic moment: 0.00 μB/f.u.
uncorrected energy: -30.18 eV per formula unit
energy above the lowest structure with this stoichiometry: 211 meV per atom

***

Record 2
Compound: TcIrF2
Source: Alexandria via LeMat-Bulk
Functional: PBE
Structure: relaxed

Lattice parameters (Å, degrees): 5.9660 5.9660 5.9660 90.00 90.00 90.00
Closest atoms and distances in Å follow each position.
Space group Fm-3m (No. 225)
Unique sites:
Tc1 0.0000 0.0000 0.0000 x4  8 F 2.58
Ir1 0.0000 0.0000 0.5000 x4  8 F 2.58
F1 0.2500 0.2500 0.2500 x8  4 Tc 2.58, 4 Ir 2.58

Computed properties:
mass density: 10.27 g/cm3
DOS at the Fermi energy: 29.67 states/eV per cell
energy relative to the elements, uncorrected: 211 kJ/mol of formula units
magnetic moment: 1.85 μB/f.u.
uncorrected energy: -20.78 eV per formula unit
energy above the lowest structure with this stoichiometry: 936 meV per atom

***

Record 3
Compound: TcIrF2
Source: Alexandria via LeMat-Bulk
Functional: PBE
Structure: relaxed

Lattice parameters (Å, degrees): 3.5996 3.5996 15.9888 90.00 90.00 90.00
Closest atoms and distances in Å follow each position.
Space group I-42d (No. 122)
Unique sites:
Tc1 0.0000 0.0000 0.0000 x4  4 F 2.35, 4 Ir 2.55
Ir1 0.0000 0.0000 0.5000 x4  4 F 2.39, 4 Tc 2.55
F1 0.2322 0.2500 0.1250 x8  2 Tc 2.35, 2 Ir 2.39, 2 F 2.46

Computed properties:
mass density: 10.52 g/cm3
DOS at the Fermi energy: 19.46 states/eV per cell
energy relative to the elements, uncorrected: -12 kJ/mol of formula units
magnetic moment: 0.00 μB/f.u.
uncorrected energy: -23.09 eV per formula unit
energy above the lowest structure with this stoichiometry: 358 meV per atom

***

Record 4
Compound: TcIrF2
Source: Alexandria via LeMat-Bulk
Functional: PBE
Structure: relaxed

Lattice parameters (Å, degrees): 2.6665 2.6665 24.0975 90.00 90.00 120.00
Closest atoms and distances in Å follow each position.
Space group R-3m (No. 166, hexagonal axes)
Unique sites:
Tc1 0.0000 0.0000 0.0000 x3  6 F 2.51, 6 Tc 2.67
Ir1 0.0000 0.0000 0.5000 x3  2 F 2.04
F1 0.0000 0.0000 0.4154 x6  1 Ir 2.04

Computed properties:
mass density: 11.02 g/cm3
DOS at the Fermi energy: 8.84 states/eV per cell
energy relative to the elements, uncorrected: -150 kJ/mol of formula units
magnetic moment: 0.00 μB/f.u.
uncorrected energy: -24.52 eV per formula unit
energy above the lowest structure with this stoichiometry: 0 meV per atom

***

Record 5
Compound: Tc2IrF
Source: Alexandria via LeMat-Bulk
Functional: PBE
Structure: relaxed

Lattice parameters (Å, degrees): 6.0259 6.0259 6.0259 90.00 90.00 90.00
Closest atoms and distances in Å follow each position.
Space group Fm-3m (No. 225)
Unique sites:
Tc1 0.2500 0.2500 0.2500 x8  4 F 2.61, 4 Ir 2.61
Ir1 0.0000 0.0000 0.0000 x4  8 Tc 2.61
F1 0.0000 0.0000 0.5000 x4  8 Tc 2.61

Computed properties:
mass density: 12.36 g/cm3
DOS at the Fermi energy: 18.42 states/eV per cell
energy relative to the elements, uncorrected: 43 kJ/mol of formula units
magnetic moment: 0.00 μB/f.u.
uncorrected energy: -31.02 eV per formula unit
energy above the lowest structure with this stoichiometry: 0 meV per atom

***

Record 6
Compound: TcIrF3
Source: Alexandria via LeMat-Bulk
Functional: PBE
Structure: relaxed

Lattice parameters (Å, degrees): 4.2825 4.2825 4.2825 90.00 90.00 90.00
Closest atoms and distances in Å follow each position.
Space group Pm-3m (No. 221)
Unique sites:
Tc1 0.0000 0.0000 0.0000 x1  12 F 3.03
Ir1 0.5000 0.5000 0.5000 x1  6 F 2.14
F1 0.0000 0.5000 0.5000 x3  2 Ir 2.14

Computed properties:
mass density: 7.34 g/cm3
DOS at the Fermi energy: 5.28 states/eV per cell
energy relative to the elements, uncorrected: 60 kJ/mol of formula units
magnetic moment: 4.26 μB/f.u.
uncorrected energy: -24.22 eV per formula unit

***

Record 7
Compound: YTcIr2F
Source: Alexandria via LeMat-Bulk
Functional: PBE
Structure: relaxed

Lattice parameters (Å, degrees): 4.9927 4.9927 5.4737 90.00 90.00 90.00
Closest atoms and distances in Å follow each position.
Space group P4/mmm (No. 123)
Unique sites:
Y1 0.0000 0.0000 0.0000 x1  4 Ir 2.50, 2 Tc 2.74
Tc1 0.0000 0.0000 0.5000 x1  2 Y 2.74
Ir1 0.0000 0.5000 0.0000 x2  2 Y 2.50
F1 0.5000 0.5000 0.5000 x1  4 Tc 3.53, 8 Ir 3.70

Computed properties:
mass density: 7.18 g/cm3
DOS at the Fermi energy: 6.86 states/eV per cell
energy relative to the elements, uncorrected: 1005 kJ/mol of formula units
magnetic moment: 5.12 μB/f.u.
uncorrected energy: -26.01 eV per formula unit

***

Record 8
Compound: ZrTc2IrF
Source: Alexandria via LeMat-Bulk
Functional: PBE
Structure: relaxed

Lattice parameters (Å, degrees): 4.8574 4.8574 3.9405 90.00 90.00 90.00
Closest atoms and distances in Å follow each position.
Space group P4/mmm (No. 123)
Unique sites:
Zr1 0.0000 0.0000 0.0000 x1  2 F 1.97
Tc1 0.0000 0.5000 0.0000 x2  2 Zr 2.43
Ir1 0.5000 0.5000 0.5000 x1  8 Tc 3.13, 4 F 3.43
F1 0.0000 0.0000 0.5000 x1  2 Zr 1.97

Computed properties:
mass density: 8.90 g/cm3
DOS at the Fermi energy: 7.79 states/eV per cell
energy relative to the elements, uncorrected: 411 kJ/mol of formula units
magnetic moment: 3.12 μB/f.u.
uncorrected energy: -35.75 eV per formula unit

***

Record 9
Compound: TeIr3F
Source: Alexandria via LeMat-Bulk
Functional: PBE
Structure: relaxed

Lattice parameters (Å, degrees): 4.3743 4.3743 4.3743 90.00 90.00 90.00
Closest atoms and distances in Å follow each position.
Space group Pm-3m (No. 221)
Unique sites:
Te1 0.0000 0.0000 0.0000 x1  12 Ir 3.09
Ir1 0.0000 0.5000 0.5000 x3  2 F 2.19
F1 0.5000 0.5000 0.5000 x1  6 Ir 2.19

Computed properties:
mass density: 14.35 g/cm3
DOS at the Fermi energy: 7.23 states/eV per cell
energy relative to the elements, uncorrected: 610 kJ/mol of formula units
magnetic moment: 0.00 μB/f.u.
uncorrected energy: -25.28 eV per formula unit
energy above the lowest structure with this stoichiometry: 0 meV per atom

***

Record 10
Compound: Te3IrF
Source: Alexandria via LeMat-Bulk
Functional: PBE
Structure: relaxed

Lattice parameters (Å, degrees): 4.8174 4.8174 4.8174 90.00 90.00 90.00
Closest atoms and distances in Å follow each position.
Space group Pm-3m (No. 221)
Unique sites:
Te1 0.0000 0.0000 0.5000 x3  2 F 2.41
Ir1 0.5000 0.5000 0.5000 x1  12 Te 3.41
F1 0.0000 0.0000 0.0000 x1  6 Te 2.41

Computed properties:
mass density: 8.82 g/cm3
DOS at the Fermi energy: 7.95 states/eV per cell
energy relative to the elements, uncorrected: 379 kJ/mol of formula units
magnetic moment: 0.43 μB/f.u.
uncorrected energy: -16.23 eV per formula unit
energy above the lowest structure with this stoichiometry: 474 meV per atom

***

Record 11
Compound: TeIrF2
Source: Alexandria via LeMat-Bulk
Functional: PBE
Structure: relaxed

Lattice parameters (Å, degrees): 2.9442 2.9442 28.4217 90.00 90.00 120.00
Closest atoms and distances in Å follow each position.
Space group R-3m (No. 166, hexagonal axes)
Unique sites:
Te1 0.0000 0.0000 0.0000 x3  6 Te 2.94, 6 F 3.29
Ir1 0.0000 0.0000 0.5000 x3  2 F 1.91
F1 0.0000 0.0000 0.4326 x6  1 Ir 1.91

Computed properties:
mass density: 8.35 g/cm3
DOS at the Fermi energy: 8.55 states/eV per cell
energy relative to the elements, uncorrected: -207 kJ/mol of formula units
magnetic moment: 1.35 μB/f.u.
uncorrected energy: -17.89 eV per formula unit
energy above the lowest structure with this stoichiometry: 0 meV per atom

***

Record 12
Compound: TeIrF2
Source: Alexandria via LeMat-Bulk
Functional: PBE
Structure: relaxed

Lattice parameters (Å, degrees): 2.9654 2.9654 27.9283 90.00 90.00 120.00
Closest atoms and distances in Å follow each position.
Space group R-3m (No. 166, hexagonal axes)
Unique sites:
Te1 0.0000 0.0000 0.0000 x3  2 F 2.03
Ir1 0.0000 0.0000 0.5000 x3  6 Ir 2.97, 6 F 3.13
F1 0.0000 0.0000 0.0727 x6  1 Te 2.03

Computed properties:
mass density: 8.38 g/cm3
DOS at the Fermi energy: 8.28 states/eV per cell
energy relative to the elements, uncorrected: -73 kJ/mol of formula units
magnetic moment: 1.70 μB/f.u.
uncorrected energy: -16.51 eV per formula unit
energy above the lowest structure with this stoichiometry: 347 meV per atom

***

Please write out number 10 again, unchanged.
Compound: Te3IrF
Source: Alexandria via LeMat-Bulk
Functional: PBE
Structure: relaxed

Lattice parameters (Å, degrees): 4.8174 4.8174 4.8174 90.00 90.00 90.00
Closest atoms and distances in Å follow each position.
Space group Pm-3m (No. 221)
Unique sites:
Te1 0.0000 0.0000 0.5000 x3  2 F 2.41
Ir1 0.5000 0.5000 0.5000 x1  12 Te 3.41
F1 0.0000 0.0000 0.0000 x1  6 Te 2.41

Computed properties:
mass density: 8.82 g/cm3
DOS at the Fermi energy: 7.95 states/eV per cell
energy relative to the elements, uncorrected: 379 kJ/mol of formula units
magnetic moment: 0.43 μB/f.u.
uncorrected energy: -16.23 eV per formula unit
energy above the lowest structure with this stoichiometry: 474 meV per atom

***

- The lowest energy relative to the elements, uncorrected belongs to which entry?
  number 11